[1]
{
  "formula": "Sm9ThIn2",
  "functional": "PBE",
  "state": "optimized geometry",
  "cell": [[-1.772, -1.422, -4.425], [-3.506, -2.700, 2.271], [-9.235, 11.890, -0.123]],
  "species": ["Sm", "Sm", "Sm", "Sm", "Sm", "Sm", "Sm", "Sm", "Sm", "Th", "In", "In"],
  "frac_coords": [[0.500, 0.500, 0.000], [0.500, 0.500, 0.339], [0.500, 0.500, 0.661], [0.500, 0.000, 0.170], [0.500, 0.000, 0.500], [0.500, 0.000, 0.830], [0.000, 0.500, 0.170], [0.000, 0.500, 0.500], [0.000, 0.500, 0.830], [0.000, 0.000, 0.000], [0.000, 0.000, 0.337], [0.000, 0.000, 0.663]],
  "volume_a3_per_atom": 31.0,
  "e_form_ev_per_atom": -0.1559
}

***

[2]
{
  "formula": "Ca2NiCl",
  "functional": "PBE",
  "state": "optimized geometry",
  "cell": [[3.489, 0.000, 0.000], [0.000, 3.580, -0.534], [0.000, 1.145, 7.773]],
  "species": ["Ni", "Ca", "Ca", "Cl"],
  "frac_coords": [[0.500, 0.750, 0.750], [0.000, 0.249, 0.961], [0.000, 0.251, 0.539], [0.500, 0.250, 0.250]],
  "volume_a3_per_atom": 24.8,
  "raw_formation_energy_ev_per_atom": -0.82
}

***

[3]
{
  "formula": "Cs3MgB2S6",
  "functional": "PBE",
  "state": "optimized geometry",
  "cell": [[6.901, 0.000, 0.000], [-3.450, 5.976, 0.000], [0.000, 0.000, 9.010]],
  "species": ["Cs", "Cs", "Cs", "Mg", "B", "B", "S", "S", "S", "S", "S", "S"],
  "frac_coords": [[0.333, 0.667, 0.695], [0.667, 0.333, 0.305], [0.000, 0.000, 0.000], [0.000, 0.000, 0.500], [0.667, 0.333, 0.678], [0.333, 0.667, 0.322], [0.639, 0.820, 0.314], [0.180, 0.361, 0.314], [0.180, 0.820, 0.314], [0.820, 0.639, 0.686], [0.361, 0.180, 0.686], [0.820, 0.180, 0.686]],
  "volume_a3_per_atom": 31.0,
  "raw_formation_energy_ev_per_atom": -0.84
}

***

[4]
{
  "formula": "Pm3Tm2Se6",
  "functional": "PBE",
  "state": "optimized geometry",
  "cell": [[-0.027, 2.123, -3.543], [-3.505, 1.716, -1.353], [3.311, 18.614, 8.723]],
  "species": ["Pm", "Pm", "Pm", "Tm", "Tm", "Se", "Se", "Se", "Se", "Se", "Se"],
  "frac_coords": [[0.000, 0.000, 0.000], [0.278, 0.278, 0.167], [0.722, 0.722, 0.833], [0.448, 0.448, 0.657], [0.552, 0.552, 0.343], [0.085, 0.085, 0.744], [0.915, 0.915, 0.256], [0.197, 0.197, 0.408], [0.803, 0.803, 0.592], [0.361, 0.361, 0.916], [0.639, 0.639, 0.084]],
  "volume_a3_per_atom": 27.8,
  "raw_formation_energy_ev_per_atom": -1.81
}

***

[5]
{
  "formula": "BaPbBr2",
  "functional": "PBE",
  "state": "optimized geometry",
  "cell": [[8.588, 6.544, 0.638], [10.480, 2.636, 0.468], [9.245, 4.613, -3.199]],
  "species": ["Pb", "Ba", "Br", "Br"],
  "frac_coords": [[0.000, 0.000, 0.000], [0.500, 0.500, 0.500], [0.897, 0.897, 0.897], [0.103, 0.103, 0.103]],
  "volume_a3_per_atom": 43.0,
  "raw_formation_energy_ev_per_atom": -1.13
}

***

[6]
{
  "formula": "K3Pr3YSe8",
  "functional": "PBE",
  "state": "optimized geometry",
  "cell": [[8.627, 0.000, 0.000], [-4.313, 7.477, -0.030], [0.000, -4.957, 7.854]],
  "species": ["K", "K", "K", "Pr", "Pr", "Pr", "Y", "Se", "Se", "Se", "Se", "Se", "Se", "Se", "Se"],
  "frac_coords": [[0.000, 0.000, 0.000], [0.000, 0.500, 0.000], [0.500, 0.500, 0.000], [0.500, 0.000, 0.500], [0.500, 0.500, 0.500], [0.000, 0.500, 0.500], [0.000, 0.000, 0.500], [0.262, 0.525, 0.287], [0.738, 0.475, 0.713], [0.770, 0.540, 0.296], [0.230, 0.460, 0.704], [0.770, 0.025, 0.296], [0.230, 0.975, 0.704], [0.255, 0.025, 0.296], [0.745, 0.975, 0.704]],
  "volume_a3_per_atom": 33.7,
  "raw_formation_energy_ev_per_atom": -1.66
}

***

[7]
{
  "formula": "Mg2Zn",
  "functional": "PBE",
  "state": "optimized geometry",
  "cell": [[5.688, -0.284, -0.189], [3.404, 4.565, -0.189], [3.404, 1.603, 4.279]],
  "species": ["Mg", "Mg", "Mg", "Mg", "Zn", "Zn"],
  "frac_coords": [[0.000, 0.673, 0.327], [0.327, 0.000, 0.673], [0.500, 0.500, 0.500], [0.673, 0.327, 0.000], [0.166, 0.166, 0.166], [0.834, 0.834, 0.834]],
  "volume_a3_per_atom": 19.8,
  "e_form_ev_per_atom": -0.0084
}

***

[8]
{
  "formula": "Sr2OsO",
  "functional": "PBE",
  "state": "optimized geometry",
  "cell": [[7.077, 0.000, 0.000], [0.000, 7.077, 0.000], [3.538, 3.538, 4.213]],
  "species": ["Sr", "Sr", "Sr", "Sr", "Os", "Os", "O", "O"],
  "frac_coords": [[0.543, 0.125, 0.250], [0.207, 0.625, 0.250], [0.375, 0.457, 0.750], [0.875, 0.793, 0.750], [0.000, 0.000, 0.000], [0.750, 0.250, 0.500], [0.500, 0.500, 0.000], [0.250, 0.750, 0.500]],
  "volume_a3_per_atom": 26.4,
  "raw_formation_energy_ev_per_atom": -0.28
}

***

[9]
{
  "formula": "YCr2Hg",
  "functional": "PBE",
  "state": "optimized geometry",
  "cell": [[0.000, 3.457, 3.457], [3.457, 0.000, 3.457], [3.457, 3.457, 0.000]],
  "species": ["Y", "Cr", "Cr", "Hg"],
  "frac_coords": [[0.000, 0.000, 0.000], [0.250, 0.250, 0.250], [0.750, 0.750, 0.750], [0.500, 0.500, 0.500]],
  "volume_a3_per_atom": 20.7,
  "e_form_ev_per_atom": 0.4503
}

***

[10]
{
  "formula": "P2RhBr",
  "functional": "PBE",
  "state": "optimized geometry",
  "cell": [[-1.380, -3.171, -1.845], [1.627, -3.537, -0.451], [-2.796, -3.195, 5.192]],
  "species": ["Br", "P", "P", "Rh"],
  "frac_coords": [[0.229, 0.229, 0.314], [0.045, 0.045, 0.865], [0.752, 0.752, 0.746], [0.474, 0.474, 0.575]],
  "volume_a3_per_atom": 19.5,
  "raw_formation_energy_ev_per_atom": 0.04
}

***

[11]
{
  "formula": "RePPb",
  "functional": "PBE",
  "state": "optimized geometry",
  "cell": [[-5.485, 0.967, 3.401], [-4.700, 4.451, 0.826], [3.926, -3.641, -3.730]],
  "species": ["Re", "P", "Pb"],
  "frac_coords": [[0.635, 0.635, 0.000], [0.048, 0.048, 0.000], [0.317, 0.317, 0.000]],
  "volume_a3_per_atom": 19.8,
  "e_form_ev_per_atom": 0.2165
}

***

[12]
{
  "formula": "Zr2NbCl",
  "functional": "PBE",
  "state": "optimized geometry",
  "cell": [[0.000, 3.432, 3.432], [3.432, 0.000, 3.432], [3.432, 3.432, 0.000]],
  "species": ["Nb", "Zr", "Zr", "Cl"],
  "frac_coords": [[0.500, 0.500, 0.500], [0.250, 0.250, 0.250], [0.750, 0.750, 0.750], [0.000, 0.000, 0.000]],
  "volume_a3_per_atom": 20.2,
  "raw_formation_energy_ev_per_atom": 0.30
}